Record 1
Material: Tc2PRu
Method: DFT, GGA-PBEsol
State: optimized geometry

Properties
E: -9.767 eV per atom
calculated volume: 53.0 Å³/cell
energy relative to the elements: -0.57 eV per formula unit

```
data_Tc2PRu
_chemical_formula_sum 'Tc2 P1 Ru1'
_cell_length_a 2.762
_cell_length_b 3.862
_cell_length_c 5.103
_cell_angle_alpha 90.00
_cell_angle_beta 103.32
_cell_angle_gamma 90.00
_space_group_name_H-M_alt 'P 1 2/m 1'
_space_group_IT_number 10
_space_group_name_Hall '-P 2y'
loop_
_atom_site_label
_atom_site_fract_x
_atom_site_fract_y
_atom_site_fract_z
_atom_site_occupancy
Tc1 0.127 0.000 0.265 1
P1 0.500 0.500 0.500 1
Ru1 0.500 0.500 0.000 1
```

=====

Record 2
Material: BaTlP
Method: DFT, GGA-PBEsol
State: optimized geometry

Properties
E: -4.138 eV per atom
calculated volume: 93.0 Å³/cell
energy relative to the elements: -1.84 eV per formula unit

```
data_BaTlP
_chemical_formula_sum 'Ba1 Tl1 P1'
_cell_length_a 4.4374
_cell_length_b 4.4374
_cell_length_c 5.4513
_cell_angle_alpha 90.00
_cell_angle_beta 90.00
_cell_angle_gamma 120.00
_space_group_name_H-M_alt 'P 3 m 1'
_space_group_IT_number 156
_space_group_name_Hall 'P 3 -2"'
loop_
_atom_site_label
_atom_site_fract_x
_atom_site_fract_y
_atom_site_fract_z
_atom_site_occupancy
Ba1 0.0000 0.0000 0.0000 1
Tl1 0.6667 0.3333 0.4484 1
P1 0.3333 0.6667 0.6764 1
```

=====

What did the second record say?
Material: BaTlP
Method: DFT, GGA-PBEsol
State: optimized geometry

Properties
E: -4.138 eV per atom
calculated volume: 93.0 Å³/cell
energy relative to the elements: -1.84 eV per formula unit

```
data_BaTlP
_chemical_formula_sum 'Ba1 Tl1 P1'
_cell_length_a 4.4374
_cell_length_b 4.4374
_cell_length_c 5.4513
_cell_angle_alpha 90.00
_cell_angle_beta 90.00
_cell_angle_gamma 120.00
_space_group_name_H-M_alt 'P 3 m 1'
_space_group_IT_number 156
_space_group_name_Hall 'P 3 -2"'
loop_
_atom_site_label
_atom_site_fract_x
_atom_site_fract_y
_atom_site_fract_z
_atom_site_occupancy
Ba1 0.0000 0.0000 0.0000 1
Tl1 0.6667 0.3333 0.4484 1
P1 0.3333 0.6667 0.6764 1
```

=====

> Which of these has the highest calculated volume?

BaTlP

=====

> Among the records above, which one has the highest calculated volume?

BaTlP